No. 1
Here is a relaxed Rb2Ag2GeSe4 crystal from the Open Quantum Materials Database. Energies are from PBE.

Values from the calculation:
* space group: No. 70
* V: 558 Å³ per cell
* total energy: -3.55 eV per atom

abc: 13.593 12.005 7.950
angles: 83.21 61.28 35.51
Fractional positions:
Ag (0.931, 0.931, 0.069)
Ag (0.319, 0.319, 0.181)
Ag (0.181, 0.181, 0.319)
Ag (0.069, 0.069, 0.931)
Ge (0.500, 0.500, 0.500)
Ge (0.750, 0.750, 0.750)
Rb (0.686, 0.686, 0.314)
Rb (0.936, 0.936, 0.564)
Rb (0.314, 0.314, 0.686)
Rb (0.564, 0.564, 0.936)
Se (0.535, 0.345, 0.261)
Se (0.859, 0.261, 0.345)
Se (0.905, 0.715, 0.391)
Se (0.261, 0.859, 0.535)
Se (0.989, 0.391, 0.715)
Se (0.345, 0.535, 0.859)
Se (0.391, 0.989, 0.905)
Se (0.715, 0.905, 0.989)

=====

No. 2
Here is a relaxed PrYGaTe3 crystal from the Open Quantum Materials Database. Energies are from PBE.

Values from the calculation:
* magnetic moment: 0.012 μB/f.u.
* space group: No. 63
* V: 348 Å³ per cell
* total energy: -4.96 eV per atom

abc: 8.044 8.044 10.563
angles: 90.00 90.00 149.39
Fractional positions:
Ga (0.027, 0.973, 0.250)
Ga (0.973, 0.027, 0.750)
Pr (0.724, 0.276, 0.250)
Pr (0.276, 0.724, 0.750)
Te (0.151, 0.849, 0.039)
Te (0.382, 0.618, 0.250)
Te (0.151, 0.849, 0.461)
Te (0.849, 0.151, 0.539)
Te (0.618, 0.382, 0.750)
Te (0.849, 0.151, 0.961)
Y (0.500, 0.500, 0.000)
Y (0.500, 0.500, 0.500)

=====

No. 3
Here is a relaxed TmHg2 crystal from the Open Quantum Materials Database. Energies are from PBE.

Values from the calculation:
* magnetic moment: 1.330 μB/f.u.
* space group: No. 227
* V: 622 Å³ per cell
* total energy: -0.86 eV per atom

abc: 9.581 9.581 9.581
angles: 60.00 60.00 60.00
Fractional positions:
Hg (0.875, 0.375, 0.375)
Hg (0.375, 0.875, 0.375)
Hg (0.375, 0.375, 0.375)
Hg (0.375, 0.375, 0.875)
Tm (0.250, 0.250, 0.250)
Tm (0.500, 0.500, 0.500)